# NbSi3C PBE relaxed
data_NbSi3C
_cell_length_a 4.882
_cell_length_b 4.882
_cell_length_c 4.882
_cell_angle_alpha 90.00
_cell_angle_beta 90.00
_cell_angle_gamma 90.00
_space_group_name_H-M_alt 'P m -3 m'
_space_group_IT_number 221
_space_group_name_Hall '-P 4 2 3'
loop_
_atom_site_label
_atom_site_type_symbol
_atom_site_fract_x
_atom_site_fract_y
_atom_site_fract_z
Nb1 Nb 0.000 0.000 0.000
Si1 Si 0.000 0.000 0.500
C1 C 0.500 0.500 0.500
# **Distance to the lowest polymorph of the same formula**: 1.251 eV per atom
# **D(E_F)**: 1.29 states/eV/atom
# **E_form (uncorrected)**: 1.983 eV per atom

# K4TaCl PBE relaxed
data_K4TaCl
_cell_length_a 10.302
_cell_length_b 10.302
_cell_length_c 10.302
_cell_angle_alpha 90.00
_cell_angle_beta 90.00
_cell_angle_gamma 90.00
_space_group_name_H-M_alt 'F -4 3 m'
_space_group_IT_number 216
_space_group_name_Hall 'F -4 2 3'
loop_
_atom_site_label
_atom_site_type_symbol
_atom_site_fract_x
_atom_site_fract_y
_atom_site_fract_z
K1 K 0.125 0.125 0.125
Ta1 Ta 0.250 0.250 0.750
Cl1 Cl 0.000 0.000 0.500
# **D(E_F)**: 1.59 states/eV/atom
# **E_form (uncorrected)**: 0.816 eV per atom

# BiS2F PBE relaxed
data_BiS2F
_cell_length_a 6.668
_cell_length_b 6.668
_cell_length_c 6.668
_cell_angle_alpha 90.00
_cell_angle_beta 90.00
_cell_angle_gamma 90.00
_space_group_name_H-M_alt 'F m -3 m'
_space_group_IT_number 225
_space_group_name_Hall '-F 4 2 3'
loop_
_atom_site_label
_atom_site_type_symbol
_atom_site_fract_x
_atom_site_fract_y
_atom_site_fract_z
Bi1 Bi 0.000 0.000 0.000
S1 S 0.250 0.250 0.250
F1 F 0.000 0.000 0.500
# **Distance to the lowest polymorph of the same formula**: 0.635 eV per atom
# **D(E_F)**: 0.60 states/eV/atom
# **E_form (uncorrected)**: -0.129 eV per atom

# Li4Ag7Pt PBE relaxed
data_Li4Ag7Pt
_cell_length_a 10.635
_cell_length_b 5.101
_cell_length_c 9.495
_cell_angle_alpha 90.00
_cell_angle_beta 118.95
_cell_angle_gamma 90.00
_space_group_name_H-M_alt 'C 1 2/m 1'
_space_group_IT_number 12
loop_
_space_group_symop_operation_xyz
'x,y,z'
'-x,-y,-z'
'-x,y,-z'
'x,-y,z'
'x+1/2,y+1/2,z'
'-x+1/2,-y+1/2,-z'
'-x+1/2,y+1/2,-z'
'x+1/2,-y+1/2,z'
loop_
_atom_site_label
_atom_site_type_symbol
_atom_site_fract_x
_atom_site_fract_y
_atom_site_fract_z
Li1 Li 0.093 0.000 0.276
Li2 Li 0.247 0.500 0.173
Ag1 Ag 0.000 0.000 0.500
Ag2 Ag 0.067 0.500 0.830
Ag3 Ag 0.136 0.000 0.017
Ag4 Ag 0.213 0.500 0.425
Pt1 Pt 0.000 0.500 0.500
# **ΔH_f (0 K)**: 0.024 eV/atom
# **D(E_F)**: 0.33 states/eV/atom